(A)
The following is a DFT calculation (PBE) of Cr2HgI after structural relaxation.

Summary:
* volume: 366.21 Å³ per cell
* magnetization: 36.47 μB/cell

```
16
Lattice="7.154 0.000 0.000 0.000 7.154 0.000 0.000 0.000 7.154" Properties=species:S:1:pos:R:3 pbc="T T T"
Cr 1.789 1.789 1.789
Cr 1.789 1.789 5.366
Cr 1.789 5.366 1.789
Cr 1.789 5.366 5.366
Cr 5.366 1.789 1.789
Cr 5.366 1.789 5.366
Cr 5.366 5.366 1.789
Cr 5.366 5.366 5.366
Hg 0.000 0.000 0.000
Hg 0.000 3.577 3.577
Hg 3.577 0.000 3.577
Hg 3.577 3.577 0.000
I 0.000 0.000 3.577
I 0.000 3.577 0.000
I 3.577 0.000 0.000
I 3.577 3.577 3.577
```

(B)
The following is a DFT calculation (PBE) of Cr2HgI after structural relaxation.

Summary:
* volume: 448.70 Å³ per cell
* magnetization: 37.65 μB/cell

```
16
Lattice="4.996 0.000 0.000 0.000 4.996 0.000 0.000 0.000 17.977" Properties=species:S:1:pos:R:3 pbc="T T T"
Cr 1.141 1.249 2.247
Cr 1.249 3.639 6.741
Cr 1.249 3.855 15.730
Cr 1.357 1.249 11.236
Cr 3.639 3.747 11.236
Cr 3.747 1.141 15.730
Cr 3.747 1.357 6.741
Cr 3.855 3.747 2.247
Hg 0.000 0.000 0.000
Hg 0.000 2.498 4.494
Hg 2.498 0.000 13.483
Hg 2.498 2.498 8.988
I 0.000 0.000 8.988
I 0.000 2.498 13.483
I 2.498 0.000 4.494
I 2.498 2.498 0.000
```

The least stable of them is (A).

(A)
The following is a DFT calculation (PBE) of CrHgI2 after structural relaxation.

Summary:
* volume: 579.73 Å³ per cell
* magnetization: 16.00 μB/cell

```
16
Lattice="8.822 0.000 0.000 0.000 8.822 0.000 0.000 0.000 7.448" Properties=species:S:1:pos:R:3 pbc="T T T"
Cr 0.000 0.000 0.000
Cr 0.000 4.411 1.862
Cr 4.411 0.000 5.586
Cr 4.411 4.411 3.724
Hg 0.000 0.000 3.724
Hg 0.000 4.411 5.586
Hg 4.411 0.000 1.862
Hg 4.411 4.411 0.000
I 1.311 2.206 0.931
I 2.206 5.723 2.793
I 2.206 7.511 6.517
I 3.100 2.206 4.655
I 5.723 6.617 4.655
I 6.617 1.311 6.517
I 6.617 3.100 2.793
I 7.511 6.617 0.931
```

(B)
The following is a DFT calculation (PBE) of CrHgI2 after structural relaxation.

Summary:
* volume: 470.81 Å³ per cell
* magnetization: 16.64 μB/cell

```
16
Lattice="7.779 0.000 0.000 0.000 7.779 0.000 0.000 0.000 7.779" Properties=species:S:1:pos:R:3 pbc="T T T"
Cr 0.000 0.000 0.000
Cr 0.000 3.890 3.890
Cr 3.890 0.000 3.890
Cr 3.890 3.890 0.000
Hg 0.000 0.000 3.890
Hg 0.000 3.890 0.000
Hg 3.890 0.000 0.000
Hg 3.890 3.890 3.890
I 1.945 1.945 1.945
I 1.945 1.945 5.835
I 1.945 5.835 1.945
I 1.945 5.835 5.835
I 5.835 1.945 1.945
I 5.835 1.945 5.835
I 5.835 5.835 1.945
I 5.835 5.835 5.835
```

(C)
The following is a DFT calculation (PBE) of CrHgI2 after structural relaxation.

Summary:
* volume: 492.99 Å³ per cell
* magnetization: 12.00 μB/cell

```
12
Lattice="4.069 0.000 0.000 -2.034 3.524 0.000 0.000 0.000 34.382" Properties=species:S:1:pos:R:3 pbc="T T T"
Cr 0.000 0.000 0.000
Cr 0.000 2.349 22.922
Cr 2.034 1.175 11.461
Hg 0.000 0.000 17.191
Hg 0.000 2.349 5.730
Hg 2.034 1.175 28.652
I 0.000 0.000 13.087
I 0.000 0.000 21.295
I 0.000 2.349 1.627
I 0.000 2.349 9.834
I 2.034 1.175 24.548
I 2.034 1.175 32.756
```

The least stable of them is (B).